*i*
VASP calculation (PBE) on a relaxed structure of Tb2MgCo.

Structure (POSCAR):
```
Tb2MgCo
1.0
-3.3161 -1.4178 0.5495
0.8033 0.0305 4.9263
-1.9191 4.5990 0.2845
Tb Co Mg
2 1 1
Direct
0.0000 0.0000 0.5000
0.0000 0.5000 0.0000
0.5000 0.5000 0.5000
0.5000 0.0000 0.0000
```

Properties
- N(E_F) (states/eV per atom) = 0.8905

***

*ii*
VASP calculation (PBE) on a relaxed structure of Tb2MgCo.

Structure (POSCAR):
```
Tb2MgCo
1.0
5.0431 0.0000 0.0000
2.5215 4.3674 0.0000
2.5215 1.4558 4.1177
Mg Tb Co
1 2 1
Direct
0.5000 0.5000 0.5000
0.7500 0.7500 0.7500
0.2500 0.2500 0.2500
0.0000 0.0000 0.0000
```

Properties
- N(E_F) (states/eV per atom) = 0.6334

***

*iii*
VASP calculation (PBE) on a relaxed structure of Tb2MgCo.

Structure (POSCAR):
```
Tb2MgCo
1.0
-2.4146 -2.7232 0.7933
1.0184 -3.5624 -0.3839
2.7220 -2.1932 9.5020
Co Tb Mg
1 2 1
Direct
0.5000 0.5000 0.5000
0.8841 0.8841 0.3477
0.1159 0.1159 0.6523
0.0000 0.0000 0.0000
```

Properties
- N(E_F) (states/eV per atom) = 0.5817

***

Verdict on stability: *ii* comes out on top.

***

*i*
VASP calculation (PBE) on a relaxed structure of Tb6MgCo2.

Structure (POSCAR):
```
Tb6MgCo2
1.0
7.7655 0.5443 -3.2026
-4.3419 6.9448 -1.9427
0.0454 -0.5443 8.3999
Co Tb Mg
4 12 2
Direct
0.3281 0.3281 0.0000
0.5000 0.8868 0.3868
0.5000 0.1132 0.6132
0.6719 0.6719 0.0000
0.6860 0.3202 0.0062
0.7956 0.0310 0.2355
0.3140 0.3202 0.6342
0.1015 0.8169 0.2846
0.7956 0.5601 0.7645
0.4677 0.1831 0.2846
0.2044 0.4399 0.2355
0.3140 0.6798 0.9938
0.8985 0.1831 0.7154
0.5323 0.8169 0.7154
0.6860 0.6798 0.3658
0.2044 0.9690 0.7645
0.0000 0.0000 0.0000
0.0000 0.5000 0.5000
```

Properties
- N(E_F) (states/eV per atom) = 1.1294

***

*ii*
VASP calculation (PBE) on a relaxed structure of Tb6MgCo2.

Structure (POSCAR):
```
Tb6MgCo2
1.0
-2.4864 -2.3676 -3.4216
1.6810 -3.2777 4.4798
-7.4983 -0.0655 5.4942
Tb Co Mg
6 2 1
Direct
0.2821 0.5642 0.8412
0.9701 0.9403 0.8480
0.3348 0.6697 0.3707
0.7179 0.4358 0.1588
0.0299 0.0597 0.1520
0.6652 0.3303 0.6293
0.3919 0.7837 0.0795
0.6081 0.2163 0.9206
0.0000 0.0000 0.5000
```

Properties
- N(E_F) (states/eV per atom) = 1.3105

***

Verdict on stability: *i* comes out on top.

***

*i*
VASP calculation (PBE) on a relaxed structure of Mg2CoTc.

Structure (POSCAR):
```
Mg2CoTc
1.0
0.0000 3.1380 3.1380
3.1380 0.0000 3.1380
3.1380 3.1380 0.0000
Mg Tc Co
2 1 1
Direct
0.7500 0.7500 0.7500
0.2500 0.2500 0.2500
0.5000 0.5000 0.5000
0.0000 0.0000 0.0000
```

Properties
- N(E_F) (states/eV per atom) = 0.9621

***

*ii*
VASP calculation (PBE) on a relaxed structure of Mg2CoTc.

Structure (POSCAR):
```
Mg2CoTc
1.0
4.2304 0.0000 0.0000
0.0000 2.7854 0.0012
0.0000 1.1996 5.3154
Co Mg Tc
1 2 1
Direct
0.5000 0.6672 0.7196
0.5000 0.2726 0.2726
0.0000 0.9602 0.9813
0.0000 0.6000 0.5264
```

Properties
- N(E_F) (states/eV per atom) = 0.8957

***

Verdict on stability: *ii* comes out on top.

***

*i*
VASP calculation (PBE) on a relaxed structure of Mg2CoTc.

Structure (POSCAR):
```
Mg2CoTc
1.0
2.6770 0.0000 0.0000
0.0000 2.6770 0.0000
0.0000 0.0000 8.4623
Mg Co Tc
2 1 1
Direct
0.0000 0.0000 0.9840
0.0000 0.0000 0.5160
0.5000 0.5000 0.7500
0.5000 0.5000 0.2500
```

Properties
- N(E_F) (states/eV per atom) = 0.9381

***

*ii*
VASP calculation (PBE) on a relaxed structure of Mg2CoTc.

Structure (POSCAR):
```
Mg2CoTc
1.0
-4.2931 0.8383 -0.0741
-0.5081 -2.5629 0.4460
-0.1400 -0.2435 5.3507
Mg Co Tc
2 1 1
Direct
0.0000 0.9571 0.9960
0.0000 0.5429 0.5040
0.5000 0.7500 0.7500
0.5000 0.2500 0.2500
```

Properties
- N(E_F) (states/eV per atom) = 0.9917

***

Verdict on stability: *i* comes out on top.

***

*i*
VASP calculation (PBE) on a relaxed structure of Mg2CoTc.

Structure (POSCAR):
```
Mg2CoTc
1.0
0.0528 1.9653 -4.7379
-3.0105 1.1864 -3.9802
-1.1148 4.1447 -0.2462
Co Tc Mg
1 1 2
Direct
0.2500 0.2500 0.2500
0.7500 0.7500 0.7500
0.5136 0.5136 0.4865
0.9864 0.9864 0.0135
```

Properties
- N(E_F) (states/eV per atom) = 0.5988

***

*ii*
VASP calculation (PBE) on a relaxed structure of Mg2CoTc.

Structure (POSCAR):
```
Mg2CoTc
1.0
2.8443 0.0106 0.0000
-0.0107 2.8443 0.0000
0.0000 0.0000 7.9117
Tc Co Mg
1 1 2
Direct
0.0000 0.0000 0.5415
0.5000 0.5000 0.7247
0.0000 0.0000 0.9514
0.5000 0.5000 0.2824
```

Properties
- N(E_F) (states/eV per atom) = 0.7152

***

*iii*
VASP calculation (PBE) on a relaxed structure of Mg2CoTc.

Structure (POSCAR):
```
Mg2CoTc
1.0
-2.7731 3.1968 -1.1957
-2.5127 -0.4922 -3.5753
-4.3385 -0.5800 0.4244
Mg Co Tc
2 1 1
Direct
0.2500 0.2500 0.2500
0.0000 0.0000 0.0000
0.5000 0.5000 0.5000
0.7500 0.7500 0.7500
```

Properties
- N(E_F) (states/eV per atom) = 1.2859

***

*iv*
VASP calculation (PBE) on a relaxed structure of Mg2CoTc.

Structure (POSCAR):
```
Mg2CoTc
1.0
5.2666 -0.0020 0.0034
4.5090 2.7213 0.0034
1.6644 0.4630 4.3215
Mg Tc Co
2 1 1
Direct
0.7611 0.7611 0.7260
0.9747 0.9747 0.0372
0.5292 0.5292 0.4901
0.2350 0.2350 0.2467
```

Properties
- N(E_F) (states/eV per atom) = 0.9149

***

Verdict on stability: *ii* comes out on top.

***

*i*
VASP calculation (PBE) on a relaxed structure of Mg2CoTc.

Structure (POSCAR):
```
Mg2CoTc
1.0
-3.1549 -1.6093 -0.1886
1.8590 -3.5509 -0.7968
0.1781 -0.8328 4.1270
Mg Co Tc
2 1 1
Direct
0.0000 0.0000 0.0000
0.5000 0.5000 0.0000
0.0000 0.5000 0.5000
0.5000 0.0000 0.5000
```

Properties
- N(E_F) (states/eV per atom) = 0.4842

***

*ii*
VASP calculation (PBE) on a relaxed structure of Mg2CoTc.

Structure (POSCAR):
```
Mg2CoTc
1.0
-2.6037 -0.5372 0.3144
1.0251 -2.3989 -0.6010
1.3333 -1.5384 8.4145
Co Tc Mg
1 1 2
Direct
0.5000 0.5000 0.7500
0.5000 0.5000 0.2500
0.0000 0.0000 0.5136
0.0000 0.0000 0.9864
```

Properties
- N(E_F) (states/eV per atom) = 0.7859

***

*iii*
VASP calculation (PBE) on a relaxed structure of Mg2CoTc.

Structure (POSCAR):
```
Mg2CoTc
1.0
5.3306 0.0021 0.0072
-2.3979 4.5854 -0.0029
0.5348 0.7318 2.4861
Tc Mg Co
1 2 1
Direct
0.0000 0.5000 0.5000
0.5000 0.0000 0.5000
0.0000 0.0000 0.0000
0.5000 0.5000 0.0000
```

Properties
- N(E_F) (states/eV per atom) = 0.8178

***

*iv*
VASP calculation (PBE) on a relaxed structure of Mg2CoTc.

Structure (POSCAR):
```
Mg2CoTc
1.0
-3.3886 1.9592 -5.8883
-6.1882 -1.5704 3.0386
-4.9567 2.5822 -0.5335
Co Mg Tc
2 4 2
Direct
0.2500 0.7500 0.5000
0.5000 0.5000 0.0000
0.8750 0.8468 0.7500
0.3750 0.4032 0.7500
0.5968 0.1250 0.2500
0.1532 0.6250 0.2500
0.7500 0.2500 0.5000
0.0000 0.0000 0.0000
```

Properties
- N(E_F) (states/eV per atom) = 1.4493

***

Verdict on stability: *ii* comes out on top.